A plane-wave DFT calculation with GGA+U was carried out for a geometry-optimized NaNi2SbO4 structure.

POSCAR file:
```
NaNi2SbO4
1.0
5.1719 0.4731 0.0000
0.0425 5.1933 0.0000
-2.6072 -2.8332 4.1917
O Ni Na Sb
4 2 1 1
direct
0.1163 0.1163 0.7150
0.8916 0.4268 0.3184
0.4268 0.8916 0.3184
0.5986 0.5986 0.7150
0.2427 0.7427 0.4854
0.7427 0.2427 0.4854
0.9869 0.9869 0.9737
0.4947 0.4947 0.9893
```

Output
VASP energy: -38.4 eV per cell
SG: No. 42
Magnetization: 4.00 μB/cell